The following is a DFT calculation (SCAN) of a crystal of ReAu relaxed with PBEsol.

Cell and atoms, written as CIF:
```
data_ReAu
_chemical_formula_sum 'Re4 Au4'
_cell_length_a 3.8882
_cell_length_b 4.0205
_cell_length_c 7.8780
_cell_angle_alpha 90.00
_cell_angle_beta 90.00
_cell_angle_gamma 90.00
_symmetry_space_group_name_H-M 'I m m a'
_symmetry_Int_Tables_number 74
_symmetry_space_group_name_Hall '-I 2b 2'
loop_
_atom_site_label
_atom_site_type_symbol
_atom_site_fract_x
_atom_site_fract_y
_atom_site_fract_z
_atom_site_occupancy
Re1 Re 0.0000 0.2500 0.1323 1
Au1 Au 0.0000 0.2500 0.6236 1
```

Results
E_tot in eV per atom: -69.6298
Crystal system: orthorhombic
DFT formation energy in eV/atom: 0.497
Total magnetic moment in μB per formula unit: 0.0


The following is a DFT calculation (SCAN) of a crystal of LiCuAs2 relaxed with PBEsol.

Cell and atoms, written as CIF:
```
data_LiCuAs2
_chemical_formula_sum 'Li1 Cu1 As2'
_cell_length_a 2.6761
_cell_length_b 4.7232
_cell_length_c 4.9393
_cell_angle_alpha 90.00
_cell_angle_beta 90.09
_cell_angle_gamma 90.00
_symmetry_space_group_name_H-M 'P 1 m 1'
_symmetry_Int_Tables_number 6
loop_
_symmetry_equiv_pos_as_xyz
'x,y,z'
'x,-y,z'
loop_
_atom_site_label
_atom_site_type_symbol
_atom_site_fract_x
_atom_site_fract_y
_atom_site_fract_z
_atom_site_occupancy
Li1 Li 0.0000 0.0000 0.0000 1
Cu1 Cu 0.4860 0.5000 0.3235 1
As1 As 0.4985 0.0000 0.4910 1
As2 As 0.4985 0.5000 0.8336 1
```

Results
E_tot in eV per atom: -14.6283
Crystal system: monoclinic
DFT formation energy in eV/atom: -0.136
Total magnetic moment in μB per formula unit: 0.0


The following is a DFT calculation (SCAN) of a crystal of BaAs3Rh relaxed with PBEsol.

Cell and atoms, written as CIF:
```
data_BaAs3Rh
_chemical_formula_sum 'Ba1 As3 Rh1'
_cell_length_a 4.9134
_cell_length_b 4.9134
_cell_length_c 4.9134
_cell_angle_alpha 90.00
_cell_angle_beta 90.00
_cell_angle_gamma 90.00
_symmetry_space_group_name_H-M 'P m -3 m'
_symmetry_Int_Tables_number 221
_symmetry_space_group_name_Hall '-P 4 2 3'
loop_
_atom_site_label
_atom_site_type_symbol
_atom_site_fract_x
_atom_site_fract_y
_atom_site_fract_z
_atom_site_occupancy
Ba1 Ba 0.0000 0.0000 0.0000 1
As1 As 0.0000 0.5000 0.5000 1
Rh1 Rh 0.5000 0.5000 0.5000 1
```

Results
E_tot in eV per atom: -27.0489
Crystal system: cubic
DFT formation energy in eV/atom: -0.270
Total magnetic moment in μB per formula unit: 0.0